Record 1
MnSbI2N | meta-GGA SCAN | single point on PBEsol structure

Values from the calculation:
V: 145.5 Å³/f.u.
formation energy from raw total energies: 3.40 eV/f.u.
density of states at the Fermi level: 1.017 states/eV/f.u.
total moment: 5.95 μB/f.u.

Cell: 6.0706 6.0706 3.9483 Å, 90.00 90.00 90.00°
Last column: nearest neighbours and their distance in Å.
Space group P4/mmm (No. 123)
Symmetry-distinct sites (fractional):
Mn 0.0000 0.0000 0.0000  8 I 3.62, 2 Mn 3.95
Sb 0.5000 0.5000 0.5000  2 N 1.97
I 0.0000 0.5000 0.5000  2 Sb 3.04
N 0.5000 0.5000 0.0000  2 Sb 1.97

=====

Record 2
LiYIn2 | meta-GGA SCAN | single point on PBEsol structure

Values from the calculation:
V: 87.7 Å³/f.u.
density of states at the Fermi level: 1.571 states/eV/f.u.
total moment: 0.40 μB/f.u.
energy of formation from the pure elements: -0.55 eV/atom

Cell: 3.4642 3.4642 7.3105 Å, 90.00 90.00 90.00°
Last column: nearest neighbours and their distance in Å.
Space group P4/mmm (No. 123)
Symmetry-distinct sites (fractional):
Li 0.0000 0.0000 0.0000  8 In 2.90
Y 0.0000 0.0000 0.5000  8 In 3.23, 4 Y 3.46
In 0.5000 0.5000 0.2118  4 Li 2.90, 1 In 3.10, 4 Y 3.23

=====

Record 3
SbP4O12 | meta-GGA SCAN | single point on PBEsol structure

Values from the calculation:
V: 243.8 Å³/f.u.
formation energy from raw total energies: -35.36 eV/f.u.
density of states at the Fermi level: 1.748 states/eV/f.u.
total moment: 0.00 μB/f.u.
offset from the most stable computed form: 0.0105 eV per atom

Cell: 9.9169 11.5080 17.0930 Å, 90.00 90.00 90.00°
Last column: nearest neighbours and their distance in Å.
Space group C222_1 (No. 20)
Symmetry-distinct sites (fractional):
Sb 0.2169 0.1853 0.1394  7 O 2.12-2.32
P 0.0000 0.3615 0.7500  4 O 1.51-1.59
P 0.0470 0.2644 0.4853  4 O 1.50-1.61
P 0.1098 0.1405 0.3413  4 O 1.49-1.60
P 0.1527 0.5000 0.5000  4 O 1.50-1.59
P 0.1929 0.4710 0.1977  4 O 1.48-1.63
O 0.0331 0.0938 0.1521  1 P 1.52
O 0.0487 0.4031 0.4733  2 P 1.59-1.61
O 0.0618 0.4454 0.8151  2 P 1.59-1.63
O 0.0963 0.2252 0.0273  1 P 1.51
O 0.1025 0.2864 0.7089  1 P 1.51
O 0.1181 0.2342 0.5601  1 P 1.50
O 0.1400 0.2236 0.4138  2 P 1.59-1.60
O 0.1530 0.3597 0.1560  1 P 1.52
O 0.1547 0.2031 0.2698  1 P 1.49
O 0.2021 0.0311 0.3620  2 P 1.60-1.61
O 0.2357 0.4614 0.5688  1 P 1.50
O 0.2374 0.4774 0.2800  1 P 1.48

=====

Record 4
BeTlPN2 | meta-GGA SCAN | single point on PBEsol structure

Values from the calculation:
V: 67.5 Å³/f.u.
formation energy from raw total energies: 7.19 eV/f.u.
density of states at the Fermi level: 2.295 states/eV/f.u.
total moment: 0.42 μB/f.u.

Cell: 3.5716 3.5716 5.2911 Å, 90.00 90.00 90.00°
Last column: nearest neighbours and their distance in Å.
Space group P4/mmm (No. 123)
Symmetry-distinct sites (fractional):
Be 0.0000 0.0000 0.0000  4 N 1.79
Tl 0.0000 0.0000 0.5000  4 P 2.53, 2 Be 2.65
P 0.5000 0.5000 0.5000  4 Tl 2.53
N 0.0000 0.5000 0.0000  2 Be 1.79